Entry 1:
Here is an optimized crystal structure of YPbCl2 from Alexandria via LeMat-Bulk. Energies are from PBE-GGA.

Unit cell a=6.6891 b=9.8187 c=3.8318 alpha=90.00 beta=123.28 gamma=90.00
Fractional positions:
Y: 0.0000 0.0000 0.0000
Y: 0.5000 0.5000 0.0000
Pb: 0.0000 0.5000 0.0000
Pb: 0.5000 0.0000 0.0000
Cl: 0.2500 0.2500 0.0000
Cl: 0.2500 0.7500 0.0000
Cl: 0.7500 0.2500 0.0000
Cl: 0.7500 0.7500 0.0000

Results
space-group type: C2/m
Fermi-level density of states: 0.27 states/eV/atom
crystal system: monoclinic
E: -36.02 eV per cell
formation energy from raw total energies: -1.036 eV per atom

Entry 2:
Here is an optimized crystal structure of YPbCl2 from Alexandria via LeMat-Bulk. Energies are from PBE-GGA.

Unit cell a=3.6417 b=6.1977 c=12.0836 alpha=90.00 beta=90.00 gamma=90.00
Fractional positions:
Y: 0.0000 0.0000 0.0000
Y: 0.5000 0.5000 0.0000
Pb: 0.0000 0.0000 0.5000
Pb: 0.5000 0.5000 0.5000
Cl: 0.0000 0.5000 0.1616
Cl: 0.0000 0.5000 0.8384
Cl: 0.5000 0.0000 0.1616
Cl: 0.5000 0.0000 0.8384

Results
space-group type: Cmmm
Fermi-level density of states: 0.56 states/eV/atom
crystal system: orthorhombic
E: -36.79 eV per cell
formation energy from raw total energies: -1.132 eV per atom

Entry 3:
Here is an optimized crystal structure of YPbCl2 from Alexandria via LeMat-Bulk. Energies are from PBE-GGA.

Unit cell a=4.6405 b=4.6405 c=9.2911 alpha=90.00 beta=90.00 gamma=90.00
Fractional positions:
Y: 0.0000 0.0000 0.0000
Y: 0.5000 0.5000 0.5000
Pb: 0.0000 0.0000 0.5000
Pb: 0.5000 0.5000 0.0000
Cl: 0.0000 0.5000 0.2500
Cl: 0.0000 0.5000 0.7500
Cl: 0.5000 0.0000 0.2500
Cl: 0.5000 0.0000 0.7500

Results
space-group type: I4/mmm
Fermi-level density of states: 0.47 states/eV/atom
crystal system: tetragonal
E: -34.78 eV per cell
formation energy from raw total energies: -0.882 eV per atom

Entry 4:
Here is an optimized crystal structure of Y2PbCl from Alexandria via LeMat-Bulk. Energies are from PBE-GGA.

Unit cell a=4.3002 b=4.3002 c=5.9922 alpha=90.00 beta=90.00 gamma=90.00
Fractional positions:
Y: 0.0000 0.0000 0.0000
Y: 0.5000 0.5000 0.4971
Pb: 0.5000 0.5000 0.9971
Cl: 0.0000 0.0000 0.4981

Results
space-group type: P4mm
Fermi-level density of states: 0.55 states/eV/atom
crystal system: tetragonal
E: -21.93 eV per cell
formation energy from raw total energies: -0.862 eV per atom

Entry 5:
Here is an optimized crystal structure of YPbCl2 from Alexandria via LeMat-Bulk. Energies are from PBE-GGA.

Unit cell a=11.2458 b=3.6674 c=6.0666 alpha=90.00 beta=114.87 gamma=90.00
Fractional positions:
Y: 0.0000 0.0000 0.0000
Y: 0.5000 0.5000 0.0000
Pb: 0.2768 0.0000 0.5371
Pb: 0.7768 0.5000 0.5371
Cl: 0.1532 0.5000 0.9108
Cl: 0.4496 0.0000 0.2783
Cl: 0.6532 0.0000 0.9108
Cl: 0.9496 0.5000 0.2783

Results
space-group type: Cm
Fermi-level density of states: 0.50 states/eV/atom
crystal system: monoclinic
E: -37.84 eV per cell
formation energy from raw total energies: -1.263 eV per atom

Entry 6:
Here is an optimized crystal structure of YPb2Cl from Alexandria via LeMat-Bulk. Energies are from PBE-GGA.

Unit cell a=4.4452 b=4.4452 c=5.9274 alpha=90.00 beta=90.00 gamma=90.00
Fractional positions:
Y: 0.0000 0.0000 0.0000
Pb: 0.5000 0.5000 0.2425
Pb: 0.5000 0.5000 0.7575
Cl: 0.0000 0.0000 0.5000

Results
space-group type: P4/mmm
Fermi-level density of states: 0.64 states/eV/atom
crystal system: tetragonal
E: -17.58 eV per cell
formation energy from raw total energies: -0.464 eV per atom

Entry 7:
Here is an optimized crystal structure of YPbCl2 from Alexandria via LeMat-Bulk. Energies are from PBE-GGA.

Unit cell a=7.5508 b=7.5508 c=7.5508 alpha=90.00 beta=90.00 gamma=90.00
Fractional positions:
Y: 0.0000 0.0000 0.0000
Y: 0.0000 0.5000 0.5000
Y: 0.5000 0.0000 0.5000
Y: 0.5000 0.5000 0.0000
Pb: 0.2500 0.2500 0.7500
Pb: 0.2500 0.7500 0.2500
Pb: 0.7500 0.2500 0.2500
Pb: 0.7500 0.7500 0.7500
Cl: 0.0000 0.0000 0.5000
Cl: 0.0000 0.5000 0.0000
Cl: 0.2500 0.2500 0.2500
Cl: 0.2500 0.7500 0.7500
Cl: 0.5000 0.0000 0.0000
Cl: 0.5000 0.5000 0.5000
Cl: 0.7500 0.2500 0.7500
Cl: 0.7500 0.7500 0.2500

Results
space-group type: F-43m
Fermi-level density of states: 0.90 states/eV/atom
crystal system: cubic
E: -63.91 eV per cell
formation energy from raw total energies: -0.528 eV per atom

Entry 8:
Here is an optimized crystal structure of YPbCl2 from Alexandria via LeMat-Bulk. Energies are from PBE-GGA.

Unit cell a=4.2126 b=4.2126 c=11.4364 alpha=90.00 beta=90.00 gamma=90.00
Fractional positions:
Y: 0.0000 0.0000 0.0000
Y: 0.5000 0.5000 0.5000
Pb: 0.0000 0.5000 0.2500
Pb: 0.5000 0.0000 0.7500
Cl: 0.0000 0.0000 0.5000
Cl: 0.0000 0.5000 0.7500
Cl: 0.5000 0.0000 0.2500
Cl: 0.5000 0.5000 0.0000

Results
space-group type: I-4m2
Fermi-level density of states: 0.37 states/eV/atom
crystal system: tetragonal
E: -34.71 eV per cell
formation energy from raw total energies: -0.872 eV per atom

Entry 9:
Here is an optimized crystal structure of YPb2Cl from Alexandria via LeMat-Bulk. Energies are from PBE-GGA.

Unit cell a=3.8800 b=6.0004 c=10.0465 alpha=90.00 beta=90.00 gamma=90.00
Fractional positions:
Y: 0.0000 0.0000 0.0000
Y: 0.5000 0.5000 0.0000
Pb: 0.0000 0.5000 0.2655
Pb: 0.0000 0.5000 0.7345
Pb: 0.5000 0.0000 0.2655
Pb: 0.5000 0.0000 0.7345
Cl: 0.0000 0.0000 0.5000
Cl: 0.5000 0.5000 0.5000

Results
space-group type: Cmmm
Fermi-level density of states: 0.97 states/eV/atom
crystal system: orthorhombic
E: -33.33 eV per cell
formation energy from raw total energies: -0.235 eV per atom

Entry 10:
Here is an optimized crystal structure of Y2PbCl from Alexandria via LeMat-Bulk. Energies are from PBE-GGA.

Unit cell a=3.6179 b=4.2869 c=14.1771 alpha=90.00 beta=90.00 gamma=90.00
Fractional positions:
Y: 0.0000 0.0000 0.0000
Y: 0.0000 0.5000 0.2390
Y: 0.5000 0.0000 0.7390
Y: 0.5000 0.5000 0.5000
Pb: 0.0000 0.0000 0.3957
Pb: 0.5000 0.5000 0.8957
Cl: 0.0000 0.5000 0.6546
Cl: 0.5000 0.0000 0.1546

Results
space-group type: Imm2
Fermi-level density of states: 0.72 states/eV/atom
crystal system: orthorhombic
E: -43.16 eV per cell
formation energy from raw total energies: -0.774 eV per atom

Entry 11:
Here is an optimized crystal structure of YPb2Cl from Alexandria via LeMat-Bulk. Energies are from PBE-GGA.

Unit cell a=7.7360 b=7.7360 c=7.7360 alpha=90.00 beta=90.00 gamma=90.00
Fractional positions:
Y: 0.0000 0.0000 0.0000
Y: 0.0000 0.5000 0.5000
Y: 0.5000 0.0000 0.5000
Y: 0.5000 0.5000 0.0000
Pb: 0.2500 0.2500 0.2500
Pb: 0.2500 0.2500 0.7500
Pb: 0.2500 0.7500 0.2500
Pb: 0.2500 0.7500 0.7500
Pb: 0.7500 0.2500 0.2500
Pb: 0.7500 0.2500 0.7500
Pb: 0.7500 0.7500 0.2500
Pb: 0.7500 0.7500 0.7500
Cl: 0.0000 0.0000 0.5000
Cl: 0.0000 0.5000 0.0000
Cl: 0.5000 0.0000 0.0000
Cl: 0.5000 0.5000 0.5000

Results
space-group type: Fm-3m
Fermi-level density of states: 0.83 states/eV/atom
crystal system: cubic
E: -65.61 eV per cell
formation energy from raw total energies: -0.169 eV per atom

Entry 12:
Here is an optimized crystal structure of YPb3Cl from Alexandria via LeMat-Bulk. Energies are from PBE-GGA.

Unit cell a=6.0118 b=6.0118 c=6.0118 alpha=90.00 beta=90.00 gamma=90.00
Fractional positions:
Y: 0.0000 0.0000 0.0000
Pb: 0.0000 0.0000 0.5000
Pb: 0.0000 0.5000 0.0000
Pb: 0.5000 0.0000 0.0000
Cl: 0.5000 0.5000 0.5000

Results
space-group type: Pm-3m
Fermi-level density of states: 1.13 states/eV/atom
crystal system: cubic
E: -17.85 eV per cell
formation energy from raw total energies: 0.317 eV per atom

Entry 13:
Here is an optimized crystal structure of YPbCl2 from Alexandria via LeMat-Bulk. Energies are from PBE-GGA.

Unit cell a=5.2401 b=3.7737 c=10.5945 alpha=90.00 beta=90.00 gamma=90.00
Fractional positions:
Y: 0.0000 0.0000 0.0000
Y: 0.0000 0.5000 0.5000
Pb: 0.5000 0.0000 0.3887
Pb: 0.5000 0.5000 0.8887
Cl: 0.0000 0.0000 0.6848
Cl: 0.0000 0.5000 0.1848
Cl: 0.5000 0.0000 0.1169
Cl: 0.5000 0.5000 0.6169

Results
space-group type: Amm2
Fermi-level density of states: 0.22 states/eV/atom
crystal system: orthorhombic
E: -37.54 eV per cell
formation energy from raw total energies: -1.226 eV per atom

Entry 14:
Here is an optimized crystal structure of Y2PbCl from Alexandria via LeMat-Bulk. Energies are from PBE-GGA.

Unit cell a=3.5711 b=6.2073 c=9.9190 alpha=90.00 beta=90.00 gamma=90.00
Fractional positions:
Y: 0.0000 0.0000 0.2312
Y: 0.0000 0.0000 0.7688
Y: 0.5000 0.5000 0.2312
Y: 0.5000 0.5000 0.7688
Pb: 0.0000 0.5000 0.5000
Pb: 0.5000 0.0000 0.5000
Cl: 0.0000 0.5000 0.0000
Cl: 0.5000 0.0000 0.0000

Results
space-group type: Cmmm
Fermi-level density of states: 0.49 states/eV/atom
crystal system: orthorhombic
E: -43.02 eV per cell
formation energy from raw total energies: -0.756 eV per atom

Entry 15:
Here is an optimized crystal structure of YPb2Cl from Alexandria via LeMat-Bulk. Energies are from PBE-GGA.

Unit cell a=4.3843 b=4.3843 c=11.3510 alpha=90.00 beta=90.00 gamma=90.00
Fractional positions:
Y: 0.0000 0.0000 0.0000
Y: 0.5000 0.5000 0.5000
Pb: 0.0000 0.5000 0.2500
Pb: 0.0000 0.5000 0.7500
Pb: 0.5000 0.0000 0.2500
Pb: 0.5000 0.0000 0.7500
Cl: 0.0000 0.0000 0.5000
Cl: 0.5000 0.5000 0.0000

Results
space-group type: I4/mmm
Fermi-level density of states: 0.79 states/eV/atom
crystal system: tetragonal
E: -35.59 eV per cell
formation energy from raw total energies: -0.516 eV per atom